{
  "formula": "KOsWO6",
  "functional": "GGA+U",
  "state": "relaxed",
  "sg": "Imma, No. 74",
  "energy_ev_per_atom": -7.08,
  "magnetic_moment_mub_per_fu": 1.48,
  "lattice": [[7.382, 0.000, 0.000], [0.000, 7.209, 0.000], [-3.691, -3.604, 5.211]],
  "species": ["O", "Os", "Os", "O", "O", "O", "K", "O", "W", "O", "O", "W", "O", "O", "O", "O", "O", "K"],
  "frac_coords": [[0.449, 0.699, 0.897], [0.500, 0.000, 0.000], [0.500, 0.500, 0.000], [0.818, 0.685, 0.259], [0.818, 0.075, 0.259], [0.441, 0.075, 0.259], [0.140, 0.390, 0.281], [0.441, 0.685, 0.259], [0.500, 0.000, 0.500], [0.551, 0.301, 0.103], [0.186, 0.936, 0.371], [0.000, 0.000, 0.500], [0.814, 0.064, 0.629], [0.559, 0.925, 0.741], [0.559, 0.315, 0.741], [0.182, 0.925, 0.741], [0.182, 0.315, 0.741], [0.860, 0.610, 0.719]]
}